(1)
Compound: Rb2NdF5
Source: Alexandria
Functional: PBE-GGA
Structure: relaxed

For the formation energy without anion corrections, the calculation gives -3.44 eV per atom. The calculation puts the theoretical density at 4.35 Mg/m³.

The structure belongs to space group Pnma (No. 62); the cell edges are 11.5609, 7.7248 and 7.0128 Å and the angles 90.00°, 90.00° and 90.00°. The distinct sites, in fractional coordinates, are Rb at (0.1715, 0.0028, 0.0333), Nd at (0.0043, 0.2500, 0.5588), F at (0.0132, 0.2500, 0.8868), F at (0.0750, 0.5330, 0.6438), F at (0.1658, 0.2500, 0.3706) and F at (0.1884, 0.7500, 0.3411).

(2)
Compound: La8Pt3Br4F
Source: Alexandria
Functional: PBE-GGA
Structure: relaxed

For the formation energy without anion corrections, the calculation gives -1.43 eV per atom. The calculation puts the theoretical density at 7.14 Mg/m³.

The structure belongs to space group C2/m (No. 12); the cell edges are 14.5430, 8.3921 and 9.1446 Å and the angles 90.00°, 122.03° and 90.00°. The distinct sites, in fractional coordinates, are La at (0.0113, 0.2447, 0.2894), La at (0.2331, 0.5000, 0.6992), La at (0.2342, 0.0000, 0.7114), Pt at (0.0000, 0.5000, 0.5000), Pt at (0.2500, 0.2500, 0.5000), Br at (0.0000, 0.0000, 0.0000), Br at (0.0000, 0.5000, 0.0000), Br at (0.2500, 0.2500, 0.0000) and F at (0.0000, 0.0000, 0.5000).

(3)
Compound: Na2SCl
Source: Alexandria
Functional: PBE-GGA
Structure: relaxed

For the formation energy without anion corrections, the calculation gives -0.96 eV per atom. The calculation puts the theoretical density at 1.77 Mg/m³. The energy above the most stable polymorph in this dataset is 114.8 meV per atom.

The structure belongs to space group I-42d (No. 122); the cell edges are 7.2554, 7.2554 and 8.0885 Å and the angles 90.00°, 90.00° and 90.00°. The distinct sites, in fractional coordinates, are Na at (0.2388, 0.2500, 0.1250), S at (0.0000, 0.0000, 0.5000) and Cl at (0.0000, 0.0000, 0.0000).

(4)
Compound: LiSiMo2
Source: Alexandria
Functional: PBE-GGA
Structure: relaxed

For the formation energy without anion corrections, the calculation gives -0.01 eV per atom. The calculation puts the theoretical density at 6.76 Mg/m³.

The structure belongs to space group Imm2 (No. 44); the cell edges are 3.4513, 4.2054 and 7.6803 Å and the angles 90.00°, 90.00° and 90.00°. The distinct sites, in fractional coordinates, are Li at (0.0000, 0.0000, 0.0000), Si at (0.0000, 0.5000, 0.2733), Mo at (0.0000, 0.0000, 0.5154) and Mo at (0.0000, 0.5000, 0.7573).

(5)
Compound: BaNb3Pd
Source: Alexandria
Functional: PBE-GGA
Structure: relaxed

The calculation puts the theoretical density at 6.70 Mg/m³. The energy above the most stable polymorph in this dataset is 0.0 meV per atom. Its formation energy from the elements is 1.17 eV/atom.

The structure belongs to space group Pm-3m (No. 221); the cell edges are 5.0594, 5.0594 and 5.0594 Å and the angles 90.00°, 90.00° and 90.00°. The distinct sites, in fractional coordinates, are Ba at (0.0000, 0.0000, 0.0000), Nb at (0.0000, 0.5000, 0.5000) and Pd at (0.5000, 0.5000, 0.5000).

(6)
Compound: RbCrI3
Source: Alexandria
Functional: PBE-GGA
Structure: relaxed

For the formation energy without anion corrections, the calculation gives -0.65 eV per atom. The calculation puts the theoretical density at 4.14 Mg/m³.

The structure belongs to space group C2/m (No. 12); the cell edges are 13.5496, 7.8359 and 9.0166 Å and the angles 90.00°, 119.79° and 90.00°. The distinct sites, in fractional coordinates, are Rb at (0.1168, 0.0000, 0.3526), Cr at (0.1661, 0.5000, 0.0023), I at (0.0781, 0.5000, 0.2351) and I at (0.1730, 0.2488, 0.7648).